1.
A plane-wave DFT calculation with SCAN was carried out for a crystal of CaMg2 relaxed with PBEsol.

## Properties
- N(E_F): 3.78 states/eV/cell
- Total energy: -39.10 eV for the cell shown
- M_tot: 0.012 μB/atom

Cell and atoms, written as CIF:
```
data_CaMg2
_chemical_formula_sum 'Ca2 Mg4'
_space_group_name_H-M_alt 'P -6 2 m'
_space_group_IT_number 189
_space_group_name_Hall 'P -6 -2'
_cell_length_a 6.0254
_cell_length_b 6.0254
_cell_length_c 5.3423
_cell_angle_alpha 90.00
_cell_angle_beta 90.00
_cell_angle_gamma 120.00
loop_
_atom_site_label
_atom_site_fract_x
_atom_site_fract_y
_atom_site_fract_z
Ca1 0.3333 0.6667 0.0000
Mg1 0.0000 0.0000 0.0000
Mg2 0.0000 0.6930 0.5000
```


2.
A plane-wave DFT calculation with SCAN was carried out for a crystal of KTl3Ag relaxed with PBEsol.

## Properties
- N(E_F): 2.53 states/eV/cell
- Total energy: -256.38 eV for the cell shown
- M_tot: 0.000 μB/atom

Cell and atoms, written as CIF:
```
data_KTl3Ag
_chemical_formula_sum 'K1 Tl3 Ag1'
_space_group_name_H-M_alt 'P m -3 m'
_space_group_IT_number 221
_space_group_name_Hall '-P 4 2 3'
_cell_length_a 5.485
_cell_length_b 5.485
_cell_length_c 5.485
_cell_angle_alpha 90.00
_cell_angle_beta 90.00
_cell_angle_gamma 90.00
loop_
_atom_site_label
_atom_site_fract_x
_atom_site_fract_y
_atom_site_fract_z
K1 0.000 0.000 0.000
Tl1 0.000 0.500 0.500
Ag1 0.500 0.500 0.500
```


3.
A plane-wave DFT calculation with SCAN was carried out for a crystal of ZrCrAg2 relaxed with PBEsol.

## Properties
- N(E_F): 5.79 states/eV/cell
- ΔE to the lowest computed polymorph: 121 meV/atom
- M_tot: 0.797 μB/atom

Cell and atoms, written as CIF:
```
data_ZrCrAg2
_chemical_formula_sum 'Zr2 Cr2 Ag4'
_space_group_name_H-M_alt 'C m m m'
_space_group_IT_number 65
_space_group_name_Hall '-C 2 2'
_cell_length_a 5.564
_cell_length_b 8.395
_cell_length_c 2.955
_cell_angle_alpha 90.00
_cell_angle_beta 90.00
_cell_angle_gamma 90.00
loop_
_atom_site_label
_atom_site_fract_x
_atom_site_fract_y
_atom_site_fract_z
Zr1 0.000 0.000 0.000
Cr1 0.000 0.500 0.000
Ag1 0.250 0.250 0.500
```


4.
A plane-wave DFT calculation with SCAN was carried out for a crystal of MgOs2Se relaxed with PBEsol.

## Properties
- N(E_F): 4.84 states/eV/cell
- ΔE to the lowest computed polymorph: 0 meV/atom
- Formation energy without anion corrections: 0.3282 eV per atom
- M_tot: 0.000 μB/atom

Cell and atoms, written as CIF:
```
data_MgOs2Se
_chemical_formula_sum 'Mg3 Os6 Se3'
_space_group_name_H-M_alt 'R 3 m'
_space_group_IT_number 160
_space_group_name_Hall 'R 3 -2"'
_cell_length_a 2.8889
_cell_length_b 2.8889
_cell_length_c 25.7795
_cell_angle_alpha 90.00
_cell_angle_beta 90.00
_cell_angle_gamma 120.00
loop_
_atom_site_label
_atom_site_fract_x
_atom_site_fract_y
_atom_site_fract_z
Mg1 0.0000 0.0000 0.0000
Os1 0.0000 0.0000 0.4970
Os2 0.0000 0.0000 0.7514
Se1 0.0000 0.0000 0.2419
```


5.
A plane-wave DFT calculation with SCAN was carried out for a crystal of LiPt3Cl relaxed with PBEsol.

## Properties
- N(E_F): 1.20 states/eV/cell
- ΔE to the lowest computed polymorph: 0 meV/atom
- Formation energy without anion corrections: 0.7439 eV per atom
- M_tot: 0.000 μB/atom

Cell and atoms, written as CIF:
```
data_LiPt3Cl
_chemical_formula_sum 'Li1 Pt3 Cl1'
_space_group_name_H-M_alt 'P m -3 m'
_space_group_IT_number 221
_space_group_name_Hall '-P 4 2 3'
_cell_length_a 4.496
_cell_length_b 4.496
_cell_length_c 4.496
_cell_angle_alpha 90.00
_cell_angle_beta 90.00
_cell_angle_gamma 90.00
loop_
_atom_site_label
_atom_site_fract_x
_atom_site_fract_y
_atom_site_fract_z
Li1 0.000 0.000 0.000
Pt1 0.000 0.500 0.500
Cl1 0.500 0.500 0.500
```


6.
A plane-wave DFT calculation with SCAN was carried out for a crystal of LiCr2As relaxed with PBEsol.

## Properties
- N(E_F): 2.78 states/eV/cell
- Total energy: -58.29 eV for the cell shown
- M_tot: 0.000 μB/atom

Cell and atoms, written as CIF:
```
data_LiCr2As
_chemical_formula_sum 'Li1 Cr2 As1'
_space_group_name_H-M_alt 'P 1 2/m 1'
_space_group_IT_number 10
_cell_length_a 2.604
_cell_length_b 4.156
_cell_length_c 4.578
_cell_angle_alpha 90.00
_cell_angle_beta 96.93
_cell_angle_gamma 90.00
loop_
_space_group_symop_operation_xyz
'x,y,z'
'-x,-y,-z'
'-x,y,-z'
'x,-y,z'
loop_
_atom_site_label
_atom_site_fract_x
_atom_site_fract_y
_atom_site_fract_z
Li1 0.000 0.000 0.000
Cr1 0.326 0.500 0.773
As1 0.500 0.000 0.500
```


What is the M_tot in the third record? 0.797 μB/atom